[1]
{"formula": "TiSnRh3", "functional": "PBE-GGA", "state": "relaxed", "formation_enthalpy_0k_ev_per_fu": 4.82, "energy_ev_per_atom": -5.8272, "rho_g_cm3": 7.31, "cell": [[4.763, 0.000, 0.000], [0.000, 4.763, 0.000], [0.000, 0.000, 4.763]], "species": ["Ti", "Sn", "Rh", "Rh", "Rh"], "frac_coords": [[0.000, 0.000, 0.000], [0.500, 0.500, 0.500], [0.000, 0.500, 0.500], [0.500, 0.000, 0.500], [0.500, 0.500, 0.000]]}

***

[2]
{"formula": "AcLa8Nd5", "functional": "PBE-GGA", "state": "relaxed", "formation_enthalpy_0k_ev_per_fu": 2.93, "energy_ev_per_atom": -4.6025, "rho_g_cm3": 6.46, "cell": [[-4.969, 4.969, 5.361], [4.969, -4.969, 5.361], [4.969, 4.969, -5.361]], "species": ["Ac", "La", "La", "La", "La", "La", "La", "La", "La", "Nd", "Nd", "Nd", "Nd", "Nd"], "frac_coords": [[0.000, 0.000, 0.000], [0.091, 0.329, 0.415], [0.279, 0.177, 0.741], [0.324, 0.909, 0.238], [0.436, 0.538, 0.259], [0.462, 0.721, 0.898], [0.671, 0.086, 0.762], [0.823, 0.564, 0.102], [0.914, 0.676, 0.585], [0.026, 0.433, 0.818], [0.250, 0.750, 0.500], [0.567, 0.385, 0.593], [0.615, 0.208, 0.182], [0.792, 0.974, 0.407]]}

***

[3]
{"formula": "RbWS2", "functional": "PBE-GGA", "state": "relaxed", "energy_ev_per_atom": -4.9504, "e_form_raw_ev_per_atom": 0.59, "rho_g_cm3": 7.45, "cell": [[6.674, 0.000, 0.000], [0.000, 6.674, 0.000], [0.000, 0.000, 6.674]], "species": ["Rb", "Rb", "Rb", "Rb", "W", "W", "W", "W", "S", "S", "S", "S", "S", "S", "S", "S"], "frac_coords": [[0.000, 0.000, 0.000], [0.000, 0.500, 0.500], [0.500, 0.000, 0.500], [0.500, 0.500, 0.000], [0.000, 0.000, 0.500], [0.000, 0.500, 0.000], [0.500, 0.000, 0.000], [0.500, 0.500, 0.500], [0.250, 0.250, 0.250], [0.250, 0.250, 0.750], [0.250, 0.750, 0.250], [0.250, 0.750, 0.750], [0.750, 0.250, 0.250], [0.750, 0.250, 0.750], [0.750, 0.750, 0.250], [0.750, 0.750, 0.750]]}